# 1
The following is a DFT calculation (meta-GGA SCAN) of a crystal of Cs3BiPd relaxed with PBEsol.

Output
SG = Pm-3m, No. 221
energy relative to the elements = 0.08 eV/atom
total moment = 1.1 μB/cell

a = 6.1163 Å, b = 6.1163 Å, c = 6.1163 Å
α = 90.00°, β = 90.00°, γ = 90.00°
Closest atoms and distances in Å follow each position.
Sites, in units of the cell vectors:
Pd 0.0000 0.0000 0.0000  6 Cs 3.06
Bi 0.5000 0.5000 0.5000  12 Cs 4.32
Cs 0.0000 0.5000 0.0000  2 Pd 3.06
Cs 0.5000 0.0000 0.0000  2 Pd 3.06
Cs 0.0000 0.0000 0.5000  2 Pd 3.06

***

# 2
The following is a DFT calculation (meta-GGA SCAN) of a crystal of SnH22C6N2Cl4 relaxed with PBEsol.

Output
SG = P-1, No. 2
total moment = 0.0 μB/cell
uncorrected energy = -6.745 eV per atom

a = 6.6090 Å, b = 7.1544 Å, c = 8.4239 Å
α = 109.60°, β = 98.89°, γ = 94.03°
Closest atoms and distances in Å follow each position.
Sites, in units of the cell vectors:
C 0.2872 0.8260 0.0160  3 H 1.10
C 0.9312 0.0859 0.7651  3 H 1.10
C 0.2629 0.3689 0.5881  3 H 1.10
C 0.7371 0.6311 0.4119  3 H 1.10
C 0.7128 0.1740 0.9840  3 H 1.10
C 0.0688 0.9141 0.2349  3 H 1.10
H 0.9314 0.9333 0.7681  1 C 1.10
H 0.7041 0.0230 0.9912  1 C 1.10
H 0.2658 0.4659 0.7209  1 C 1.10
H 0.2972 0.2185 0.5819  1 C 1.10
H 0.2959 0.9770 0.0088  1 C 1.10
H 0.1514 0.7308 0.9245  1 C 1.10
H 0.2706 0.6999 0.2041  1 N 1.06
H 0.0686 0.0667 0.2319  1 C 1.10
H 0.7028 0.7815 0.4181  1 C 1.10
H 0.7294 0.3001 0.7959  1 N 1.06
H 0.9414 0.0860 0.6362  1 C 1.10
H 0.3902 0.9401 0.2790  1 N 1.06
H 0.0586 0.9140 0.3638  1 C 1.10
H 0.9390 0.8135 0.1395  1 C 1.10
H 0.8486 0.2692 0.0755  1 C 1.10
H 0.8862 0.6385 0.4940  1 C 1.10
H 0.0610 0.1865 0.8605  1 C 1.10
H 0.6098 0.0599 0.7210  1 N 1.06
H 0.7342 0.5341 0.2791  1 C 1.10
H 0.5708 0.2389 0.0133  1 C 1.10
H 0.4292 0.7611 0.9867  1 C 1.10
H 0.1138 0.3615 0.5060  1 C 1.10
N 0.2641 0.8415 0.1915  2 H 1.06
N 0.7359 0.1585 0.8085  2 H 1.06
Cl 0.6516 0.1584 0.3956  1 H 2.11
Cl 0.3484 0.8416 0.6044  1 H 2.11
Cl 0.7354 0.5950 0.8074  1 H 2.08
Cl 0.2646 0.4050 0.1926  1 H 2.08
Sn 0.5000 0.5000 0.5000  2 C 2.12

***

# 3
The following is a DFT calculation (meta-GGA SCAN) of a crystal of Nd15Ge9C relaxed with PBEsol.

Output
SG = P6_3mc, No. 186
energy relative to the elements = -0.80 eV/atom
total moment = 0.0 μB/cell

a = 6.7122 Å, b = 15.0090 Å, c = 15.0090 Å
α = 120.00°, β = 90.00°, γ = 90.00°
Closest atoms and distances in Å follow each position.
Sites, in units of the cell vectors:
Nd 0.2718 0.1609 0.0804  4 Ge 3.04-3.24
Nd 0.4977 0.3212 0.3446  6 Ge 3.09-3.21, 2 Nd 3.41
Nd 0.4977 0.0234 0.3446  6 Ge 3.09-3.21, 2 Nd 3.41
Nd 0.7132 0.5095 0.2548  1 C 2.51
Nd 0.4977 0.0234 0.6788  6 Ge 3.09-3.21, 2 Nd 3.41
Nd 0.2709 0.5873 0.4127  1 C 2.56
Nd 0.9977 0.3446 0.0234  6 Ge 3.09-3.21, 2 Nd 3.41
Nd 0.4977 0.6554 0.9766  6 Ge 3.09-3.21, 2 Nd 3.41
Nd 0.9977 0.9766 0.6554  6 Ge 3.09-3.21, 2 Nd 3.41
Nd 0.7132 0.7452 0.2548  1 C 2.51
Nd 0.4977 0.6554 0.6788  6 Ge 3.09-3.21, 2 Nd 3.41
Nd 0.2132 0.2548 0.5095  1 C 2.51
Nd 0.2709 0.5873 0.1746  1 C 2.56
Nd 0.2718 0.9196 0.8391  4 Ge 3.04-3.24
Nd 0.2709 0.8254 0.4127  1 C 2.56
Nd 0.9977 0.6788 0.6554  6 Ge 3.09-3.21, 2 Nd 3.41
Nd 0.7718 0.0804 0.9196  4 Ge 3.04-3.24
Nd 0.2718 0.9196 0.0804  4 Ge 3.04-3.24
Nd 0.9977 0.9766 0.3212  6 Ge 3.09-3.21, 2 Nd 3.41
Nd 0.4977 0.3212 0.9766  6 Ge 3.09-3.21, 2 Nd 3.41
Nd 0.2132 0.2548 0.7452  1 C 2.51
Nd 0.7709 0.1746 0.5873  1 C 2.56
Nd 0.7709 0.4127 0.5873  1 C 2.56
Nd 0.7132 0.7452 0.4905  1 C 2.51
Nd 0.9977 0.6788 0.0234  6 Ge 3.09-3.21, 2 Nd 3.41
Nd 0.7709 0.4127 0.8254  1 C 2.56
Nd 0.9977 0.3446 0.3212  6 Ge 3.09-3.21, 2 Nd 3.41
Nd 0.7718 0.8391 0.9196  4 Ge 3.04-3.24
Nd 0.2132 0.4905 0.7452  1 C 2.51
Nd 0.7718 0.0804 0.1609  4 Ge 3.04-3.24
Ge 0.7096 0.2657 0.1329  8 Nd 3.04-3.24, 1 Ge 3.22
Ge 0.8001 0.6051 0.8026  8 Nd 3.05-3.21, 1 Ge 3.22
Ge 0.2096 0.1329 0.8671  8 Nd 3.04-3.24, 1 Ge 3.22
Ge 0.3001 0.8026 0.1974  8 Nd 3.05-3.21, 1 Ge 3.22
Ge 0.3001 0.3949 0.1974  8 Nd 3.05-3.21, 1 Ge 3.22
Ge 0.2298 0.4679 0.5321  8 Nd 3.05-3.40
Ge 0.8001 0.1974 0.8026  8 Nd 3.05-3.21, 1 Ge 3.22
Ge 0.7096 0.8671 0.7343  8 Nd 3.04-3.24, 1 Ge 3.22
Ge 0.2298 0.4679 0.9357  8 Nd 3.05-3.40
Ge 0.2096 0.1329 0.2657  8 Nd 3.04-3.24, 1 Ge 3.22
Ge 0.7096 0.8671 0.1329  8 Nd 3.04-3.24, 1 Ge 3.22
Ge 0.7298 0.5321 0.0643  8 Nd 3.05-3.40
Ge 0.7298 0.5321 0.4679  8 Nd 3.05-3.40
Ge 0.8001 0.1974 0.3949  8 Nd 3.05-3.21, 1 Ge 3.22
Ge 0.3001 0.8026 0.6051  8 Nd 3.05-3.21, 1 Ge 3.22
Ge 0.7298 0.9357 0.4679  8 Nd 3.05-3.40
Ge 0.2096 0.7343 0.8671  8 Nd 3.04-3.24, 1 Ge 3.22
Ge 0.2298 0.0643 0.5321  8 Nd 3.05-3.40
C 0.9955 0.3333 0.6667  6 Nd 2.51-2.56
C 0.4955 0.6667 0.3333  6 Nd 2.51-2.56

***

# 4
The following is a DFT calculation (meta-GGA SCAN) of a crystal of BaRhW2 relaxed with PBEsol.

Output
polymorph energy (0 for the lowest one) = 0.00 eV per formula unit
SG = P4mm, No. 99
energy relative to the elements = 0.65 eV/atom
total moment = 0.0 μB/cell

a = 3.1986 Å, b = 3.1986 Å, c = 7.9649 Å
α = 90.00°, β = 90.00°, γ = 90.00°
Closest atoms and distances in Å follow each position.
Sites, in units of the cell vectors:
Ba 0.0000 0.0000 0.5045  4 Ba 3.20, 4 Rh 3.39, 4 W 3.47
W 0.0000 0.0000 0.0002  4 W 2.65, 4 Rh 2.67
W 0.5000 0.5000 0.1739  4 W 2.65, 1 Rh 2.81
Rh 0.5000 0.5000 0.8214  5 W 2.67-2.81

***

# 5
The following is a DFT calculation (meta-GGA SCAN) of a crystal of TlOsPdI2 relaxed with PBEsol.

Output
SG = P4/mmm, No. 123
total moment = 3.2 μB/cell
formation energy (no corrections) = 0.88 eV per atom

a = 5.0090 Å, b = 5.3892 Å, c = 5.3892 Å
α = 90.00°, β = 90.00°, γ = 90.00°
Closest atoms and distances in Å follow each position.
Sites, in units of the cell vectors:
I 0.0000 0.0000 0.5000  2 Pd 2.69
I 0.0000 0.5000 0.0000  2 Pd 2.69
Tl 0.5000 0.5000 0.5000  8 I 3.68, 4 Os 3.81
Pd 0.0000 0.0000 0.0000  2 Os 2.50, 4 I 2.69
Os 0.5000 0.0000 0.0000  2 Pd 2.50

***

# 6
The following is a DFT calculation (meta-GGA SCAN) of a crystal of BeGaNiW2 relaxed with PBEsol.

Output
SG = P4/mmm, No. 123
energy relative to the elements = 0.77 eV/atom
total moment = 0.0 μB/cell

a = 3.8003 Å, b = 4.2272 Å, c = 4.2272 Å
α = 90.00°, β = 90.00°, γ = 90.00°
Closest atoms and distances in Å follow each position.
Sites, in units of the cell vectors:
W 0.0000 0.0000 0.5000  2 Be 2.11
W 0.0000 0.5000 0.0000  2 Be 2.11
Be 0.0000 0.0000 0.0000  2 Ni 1.90, 4 W 2.11
Ni 0.5000 0.0000 0.0000  2 Be 1.90
Ga 0.5000 0.5000 0.5000  8 W 2.84, 4 Ni 2.99

***

# 7
The following is a DFT calculation (meta-GGA SCAN) of a crystal of BaLa2Ag relaxed with PBEsol.

Output
polymorph energy (0 for the lowest one) = 1.06 eV per formula unit
SG = Cmmm, No. 65
energy relative to the elements = 0.18 eV/atom
total moment = 0.0 μB/cell

a = 3.8864 Å, b = 5.6765 Å, c = 5.6765 Å
α = 91.40°, β = 90.00°, γ = 90.00°
Closest atoms and distances in Å follow each position.
Sites, in units of the cell vectors:
La 0.0000 0.5000 0.0000  4 Ba 3.44, 4 Ag 3.44
La 0.0000 0.0000 0.5000  4 Ag 3.44, 4 Ba 3.44
Ag 0.5000 0.0000 0.0000  8 La 3.44
Ba 0.5000 0.5000 0.5000  8 La 3.44

***

# 8
The following is a DFT calculation (meta-GGA SCAN) of a crystal of HgOs2RuCl relaxed with PBEsol.

Output
SG = P4/mmm, No. 123
total moment = 2.1 μB/cell
formation energy (no corrections) = 1.82 eV per atom

a = 4.5349 Å, b = 4.6846 Å, c = 4.6846 Å
α = 90.00°, β = 90.00°, γ = 90.00°
Closest atoms and distances in Å follow each position.
Sites, in units of the cell vectors:
Cl 0.5000 0.0000 0.0000  2 Ru 2.27
Os 0.0000 0.0000 0.5000  2 Ru 2.34
Os 0.0000 0.5000 0.0000  2 Ru 2.34
Hg 0.5000 0.5000 0.5000  8 Os 3.26, 4 Cl 3.31
Ru 0.0000 0.0000 0.0000  2 Cl 2.27, 4 Os 2.34

***

# 9
The following is a DFT calculation (meta-GGA SCAN) of a crystal of RbMn2InSn relaxed with PBEsol.

Output
SG = P4/mmm, No. 123
energy relative to the elements = 0.44 eV/atom
total moment = 8.1 μB/cell

a = 5.1830 Å, b = 5.1830 Å, c = 5.7755 Å
α = 90.00°, β = 90.00°, γ = 90.00°
Closest atoms and distances in Å follow each position.
Sites, in units of the cell vectors:
Mn 0.5000 0.0000 0.0000  2 Sn 2.59
Mn 0.0000 0.5000 0.0000  2 Sn 2.59
In 0.0000 0.0000 0.5000  2 Sn 2.89
Rb 0.5000 0.5000 0.5000  4 In 3.66, 8 Mn 3.88
Sn 0.0000 0.0000 0.0000  4 Mn 2.59, 2 In 2.89

***

# 10
The following is a DFT calculation (meta-GGA SCAN) of a crystal of Ta3Re2 relaxed with PBEsol.

Output
polymorph energy (0 for the lowest one) = 0.56 eV per formula unit
SG = R-3m, No. 166
energy relative to the elements = 0.03 eV/atom
total moment = 0.0 μB/cell

a = 3.0093 Å, b = 3.0093 Å, c = 10.7811 Å
α = 81.98°, β = 81.98°, γ = 60.00°
Closest atoms and distances in Å follow each position.
Sites, in units of the cell vectors:
Re 0.6013 0.6013 0.1960  6 Ta 2.71-2.72, 6 Re 3.01
Re 0.3987 0.3987 0.8040  6 Ta 2.71-2.72, 6 Re 3.01
Ta 0.7976 0.7976 0.6073  3 Re 2.72, 9 Ta 2.87-3.01
Ta 0.2024 0.2024 0.3927  3 Re 2.72, 9 Ta 2.87-3.01
Ta 0.0000 0.0000 0.0000  6 Re 2.71, 6 Ta 3.01

***

# 11
The following is a DFT calculation (meta-GGA SCAN) of a crystal of MgSc2Ag relaxed with PBEsol.

Output
SG = Pm, No. 6
energy relative to the elements = -0.11 eV/atom
total moment = 0.4 μB/cell

a = 3.1625 Å, b = 4.6920 Å, c = 5.8860 Å
α = 90.00°, β = 105.77°, γ = 90.00°
Closest atoms and distances in Å follow each position.
Sites, in units of the cell vectors:
Ag 0.3045 0.0000 0.4851  2 Mg 2.81, 7 Sc 2.95-3.14
Sc 0.7072 0.5000 0.2911  3 Mg 3.01-3.09, 4 Ag 3.03-3.04, 2 Sc 3.16
Sc 0.0453 0.0000 0.9643  3 Ag 2.95-3.14, 4 Mg 3.06, 2 Sc 3.16
Mg 0.4429 0.5000 0.7595  2 Ag 2.81, 7 Sc 3.01-3.09

***

# 12
The following is a DFT calculation (meta-GGA SCAN) of a crystal of BeRePb relaxed with PBEsol.

Output
SG = P3m1, No. 156
energy relative to the elements = 0.87 eV/atom
total moment = 0.5 μB/cell

a = 2.9965 Å, b = 2.9965 Å, c = 6.4902 Å
α = 90.00°, β = 90.00°, γ = 120.00°
Closest atoms and distances in Å follow each position.
Sites, in units of the cell vectors:
Re 0.6667 0.3333 0.2925  3 Be 2.37
Be 0.0000 0.0000 0.0425  3 Re 2.37
Pb 0.3333 0.6667 0.6650  3 Re 2.97, 6 Pb 3.00, 3 Be 3.00